(1)
Below is a geometry-optimized Hf2MnPd structure, with properties calculated at the PBE level.

The total energy comes out at -131.996 eV per cell. As for the formation enthalpy at 0 K: 7.32 kcal/mol of atoms.

It has space group I-42d (No. 122), with a = 4.105 Å, b = 4.105 Å, c = 18.635 Å, α = 90.00°, β = 90.00° and γ = 90.00°. The asymmetric unit holds Hf at (0.248, 0.250, 0.125), Mn at (0.000, 0.000, 0.000) and Pd at (0.000, 0.000, 0.500).


(2)
Below is a geometry-optimized LiAc2Bi structure, with properties calculated at the PBE level.

The total energy comes out at -42.411 eV per cell. As for the formation enthalpy at 0 K: -0.72 kcal/mol of atoms.

It has space group R-3m (No. 166, hexagonal axes), with a = 4.3507 Å, b = 4.3507 Å, c = 35.2365 Å, α = 90.00°, β = 90.00° and γ = 120.00°. The asymmetric unit holds Li at (0.0000, 0.0000, 0.0000), Ac at (0.0000, 0.0000, 0.1050) and Bi at (0.0000, 0.0000, 0.5000).


(3)
Below is a geometry-optimized LaCo2Pb structure, with properties calculated at the PBE level.

The total energy comes out at -68.557 eV per cell. As for the formation enthalpy at 0 K: -0.03 kcal/mol of atoms.

It has space group R-3m (No. 166, hexagonal axes), with a = 4.5377 Å, b = 4.5377 Å, c = 14.0593 Å, α = 90.00°, β = 90.00° and γ = 120.00°. The asymmetric unit holds La at (0.0000, 0.0000, 0.0000), Co at (0.0000, 0.0000, 0.1871) and Pb at (0.0000, 0.0000, 0.5000).